#i
{"formula": "Zn2NiMo", "functional": "GGA-PBE", "state": "relaxed", "lattice_angstrom": [[-1.3322, -0.7024, -2.1827], [2.7932, -2.2213, -0.9899], [-2.3671, -4.2263, 2.8047]], "species": ["Zn", "Mo", "Ni", "Zn"], "frac_coords": [[0.5000, 0.5000, 0.2398], [0.0000, 0.0000, 0.5178], [0.5000, 0.5000, 0.7455], [0.0000, 0.0000, 0.9969]], "dos_ef_per_ev_cell": 2.7, "volume_a3_per_atom": 13.7, "density_g_cm3": 8.62, "m_tot_mub_per_fu": 0.00}



#ii
{"formula": "Zn2NiMo", "functional": "GGA-PBE", "state": "relaxed", "lattice_angstrom": [[2.7315, 0.0000, 0.0000], [1.3658, 2.3656, 0.0000], [1.3658, 0.7885, 8.6316]], "species": ["Zn", "Mo", "Zn", "Ni"], "frac_coords": [[0.0765, 0.0765, 0.7705], [0.5001, 0.5001, 0.4998], [0.2568, 0.2568, 0.2297], [0.6667, 0.6667, 0.0000]], "dos_ef_per_ev_cell": 4.7, "volume_a3_per_atom": 13.9, "density_g_cm3": 8.50, "m_tot_mub_per_fu": 0.00}



How far above the most stable structure does each one sit? In eV/atom: #i 0.000; #ii 0.048.



#i
{"formula": "MnP3", "functional": "GGA-PBE", "state": "relaxed", "lattice_angstrom": [[-0.5344, 0.1995, 5.3202], [4.8732, -0.2900, -2.1902], [0.4221, 9.4475, -0.3118]], "species": ["P", "Mn", "P", "P", "P", "P", "P", "Mn", "P", "P", "P", "P", "P", "Mn", "P", "Mn"], "frac_coords": [[0.5000, 0.0000, 0.5000], [0.0000, 0.0000, 0.5000], [0.5000, 0.0000, 0.0000], [0.5000, 0.5000, 0.5000], [0.0000, 0.5000, 0.5000], [0.5000, 0.5000, 0.0000], [0.7111, 0.8556, 0.7500], [0.3333, 0.6667, 0.2500], [0.0000, 0.5000, 0.0000], [0.1444, 0.2889, 0.7500], [0.8556, 0.7111, 0.2500], [0.8556, 0.1444, 0.2500], [0.1444, 0.8556, 0.7500], [0.6667, 0.3333, 0.7500], [0.2889, 0.1444, 0.2500], [0.0000, 0.0000, 0.0000]], "dos_ef_per_ev_cell": 10.3, "volume_a3_per_atom": 14.7, "density_g_cm3": 4.19, "m_tot_mub_per_fu": 3.61}



#ii
{"formula": "MnP3", "functional": "GGA-PBE", "state": "relaxed", "lattice_angstrom": [[2.6743, 0.0000, 0.0000], [0.0000, 3.1587, 0.0000], [0.0000, 0.0000, 13.6917]], "species": ["Mn", "P", "Mn", "P", "P", "P", "P", "P"], "frac_coords": [[0.5000, 0.5000, 0.1501], [0.0000, 0.5000, 0.0198], [0.5000, 0.0000, 0.6501], [0.0000, 0.0000, 0.5198], [0.0000, 0.0000, 0.2269], [0.0000, 0.5000, 0.4073], [0.0000, 0.5000, 0.7269], [0.0000, 0.0000, 0.9073]], "dos_ef_per_ev_cell": 3.6, "volume_a3_per_atom": 14.5, "density_g_cm3": 4.25, "m_tot_mub_per_fu": 0.09}



How far above the most stable structure does each one sit? In eV/atom: #i 0.557; #ii 0.000.